Entry from OQMD via LeMat-Bulk: an optimized crystal structure of MoN (PBE).

Unit cell a=3.3783 b=3.3783 c=4.9325 alpha=90.00 beta=90.00 gamma=120.00
Closest atoms and distances in Å follow each position.
Element x y z (fractional)
Mo 0.0000 0.0000 0.2476  6 N 2.31, 2 Mo 2.44-2.49
Mo 0.0000 0.0000 0.7524  6 N 2.31, 2 Mo 2.44-2.49
N 0.3333 0.6667 0.5000  3 N 1.95
N 0.6667 0.3333 0.5000  3 N 1.95

Properties
Uncorrected energy   -8.090 eV/atom



Entry from OQMD via LeMat-Bulk: an optimized crystal structure of LuInGaTe3 (PBE).

Unit cell a=7.6215 b=7.6215 c=11.4738 alpha=90.00 beta=90.00 gamma=146.64
Closest atoms and distances in Å follow each position.
Element x y z (fractional)
Lu 0.0000 0.0000 0.0000  6 Te 3.07-3.20
Lu 0.0000 0.0000 0.5000  6 Te 3.07-3.20
In 0.4587 0.5413 0.7500  4 Te 2.87-2.97
In 0.5413 0.4587 0.2500  4 Te 2.87-2.97
Ga 0.2358 0.7642 0.2500  6 Te 3.28-3.54, 2 In 3.58
Ga 0.7642 0.2358 0.7500  6 Te 3.28-3.54, 2 In 3.58
Te 0.0967 0.9033 0.7500  2 In 2.97, 2 Lu 3.20, 2 Ga 3.28
Te 0.3554 0.6446 0.5374  1 In 2.87, 2 Lu 3.07
Te 0.3554 0.6446 0.9626  1 In 2.87, 2 Lu 3.07
Te 0.6446 0.3554 0.0374  1 In 2.87, 2 Lu 3.07
Te 0.6446 0.3554 0.4626  1 In 2.87, 2 Lu 3.07
Te 0.9033 0.0967 0.2500  2 In 2.97, 2 Lu 3.20, 2 Ga 3.28

Properties
Uncorrected energy   -3.812 eV/atom



> What is the uncorrected energy in the first record?

-8.090 eV/atom